[1]
First-principles (PBE) data for AcPr4Nd6 after structural relaxation, as listed in Alexandria via LeMat-Bulk.

The calculation puts the formation energy at 351 meV/atom. For the distance to the lowest polymorph of the same formula, the calculation gives 59 meV/atom. The value obtained for the volume is 38.8 Å³ per atom. The value obtained for the calculated total energy is -47.97 eV per formula unit.

The space group is I-42m (No. 121) and the conventional cell measures 8.019, 8.019 and 13.291 Å, with angles of 90.00, 90.00 and 90.00 degrees. The distinct sites, in fractional coordinates, are Ac at (0.000, 0.000, 0.000), Pr at (0.170, 0.170, 0.424), Nd at (0.000, 0.500, 0.000) and Nd at (0.248, 0.248, 0.692).

***

[2]
First-principles (PBE) data for Ac3Pr4Nd3 after structural relaxation, as listed in Alexandria via LeMat-Bulk.

The calculation puts the formation energy at 77 meV/atom. The value obtained for the volume is 39.2 Å³ per atom. The value obtained for the calculated total energy is -44.98 eV per formula unit.

The space group is Amm2 (No. 38) and the conventional cell measures 3.936, 14.043 and 14.197 Å, with angles of 90.00, 90.00 and 90.00 degrees. The distinct sites, in fractional coordinates, are Ac at (0.000, 0.000, 0.000), Ac at (0.500, 0.249, 0.579), Pr at (0.500, 0.000, 0.210), Pr at (0.500, 0.000, 0.456), Pr at (0.500, 0.127, 0.820), Nd at (0.000, 0.000, 0.655) and Nd at (0.000, 0.172, 0.331).

***

[3]
First-principles (PBE) data for AcPr2Nd5 after structural relaxation, as listed in Alexandria via LeMat-Bulk.

The calculation puts the formation energy at 20 meV/atom. The value obtained for the volume is 36.6 Å³ per atom. The value obtained for the calculated total energy is -37.35 eV per formula unit.

The space group is Pbam (No. 55) and the conventional cell measures 7.444, 14.899 and 5.283 Å, with angles of 90.00, 90.00 and 90.00 degrees. The distinct sites, in fractional coordinates, are Ac at (0.000, 0.000, 0.000), Pr at (0.248, 0.373, 0.500), Nd at (0.000, 0.253, 0.000), Nd at (0.000, 0.500, 0.000) and Nd at (0.248, 0.627, 0.500).

***

[4]
First-principles (PBE) data for Ac3Pr7Nd2 after structural relaxation, as listed in Alexandria via LeMat-Bulk.

The calculation puts the formation energy at 204 meV/atom. For the distance to the lowest polymorph of the same formula, the calculation gives 131 meV/atom. The value obtained for the volume is 40.1 Å³ per atom. The value obtained for the calculated total energy is -52.87 eV per formula unit.

The space group is P2/m (No. 10) and the conventional cell measures 3.839, 5.955 and 21.120 Å, with angles of 90.00, 95.23 and 90.00 degrees. The distinct sites, in fractional coordinates, are Ac at (0.000, 0.000, 0.000), Ac at (0.321, 0.500, 0.643), Pr at (0.088, 0.500, 0.174), Pr at (0.217, 0.000, 0.435), Pr at (0.429, 0.000, 0.859), Pr at (0.500, 0.500, 0.000) and Nd at (0.141, 0.000, 0.281).

***

[5]
First-principles (PBE) data for Ac3Pr6Nd after structural relaxation, as listed in Alexandria via LeMat-Bulk.

The calculation puts the formation energy at 325 meV/atom. The value obtained for the volume is 39.9 Å³ per atom. The value obtained for the calculated total energy is -42.52 eV per formula unit.

The space group is R-3 (No. 148, hexagonal axes) and the conventional cell measures 10.3130, 10.3130 and 12.9994 Å, with angles of 90.00, 90.00 and 120.00 degrees. The distinct sites, in fractional coordinates, are Ac at (0.0000, 0.0000, 0.0000), Ac at (0.0000, 0.0000, 0.2584), Pr at (0.0016, 0.6709, 0.4228) and Nd at (0.0000, 0.0000, 0.5000).

***

[6]
First-principles (PBE) data for Ac2PrNd2 after structural relaxation, as listed in Alexandria via LeMat-Bulk.

The calculation puts the formation energy at 36 meV/atom. For the distance to the lowest polymorph of the same formula, the calculation gives 0 meV/atom. The value obtained for the volume is 39.1 Å³ per atom. The value obtained for the calculated total energy is -22.35 eV per formula unit.

The space group is Cmmm (No. 65) and the conventional cell measures 5.816, 17.830 and 3.775 Å, with angles of 90.00, 90.00 and 90.00 degrees. The distinct sites, in fractional coordinates, are Ac at (0.000, 0.110, 0.000), Pr at (0.000, 0.500, 0.500) and Nd at (0.000, 0.301, 0.500).

***

[7]
First-principles (PBE) data for AcPr2Nd8 after structural relaxation, as listed in Alexandria via LeMat-Bulk.

The calculation puts the formation energy at 143 meV/atom. For the distance to the lowest polymorph of the same formula, the calculation gives 30 meV/atom. The value obtained for the volume is 36.8 Å³ per atom. The value obtained for the calculated total energy is -50.23 eV per formula unit.

The space group is C2/m (No. 12) and the conventional cell measures 16.959, 6.918 and 6.989 Å, with angles of 90.00, 99.15 and 90.00 degrees. The distinct sites, in fractional coordinates, are Ac at (0.000, 0.000, 0.000), Pr at (0.209, 0.000, 0.793), Nd at (0.091, 0.269, 0.423), Nd at (0.091, 0.500, 0.916) and Nd at (0.239, 0.000, 0.294).

***

[8]
First-principles (PBE) data for Ac5Pr2Nd4 after structural relaxation, as listed in Alexandria via LeMat-Bulk.

The calculation puts the formation energy at 135 meV/atom. For the distance to the lowest polymorph of the same formula, the calculation gives 0 meV/atom. The value obtained for the volume is 40.5 Å³ per atom. The value obtained for the calculated total energy is -47.68 eV per formula unit.

The space group is P2/m (No. 10) and the conventional cell measures 9.402, 3.733 and 12.694 Å, with angles of 90.00, 92.13 and 90.00 degrees. The distinct sites, in fractional coordinates, are Ac at (0.000, 0.000, 0.000), Ac at (0.198, 0.000, 0.525), Ac at (0.278, 0.000, 0.814), Pr at (0.353, 0.000, 0.118), Nd at (0.076, 0.500, 0.268) and Nd at (0.464, 0.500, 0.357).